No. 1
Material: LiAl2W
Method: DFT, GGA-PBE
State: relaxed

ρ, kg/m³: 6843
Formation energy from the elements, meV/atom: 332.6
V, Å³/f.u.: 59.4
N(E_F), states/eV/f.u.: 1.82

Cell lengths 4.3793, 4.3793, 4.3793 Å; angles 60.00, 60.00, 60.00 degrees
Last column: nearest neighbours and their distance in Å.
Atoms (fractional coordinates):
1 Al 0.0000 0.0000 0.0000  4 W 2.68, 4 Al 2.68
2 Al 0.2500 0.2500 0.2500  4 Al 2.68, 4 Li 2.68
3 Li 0.5000 0.5000 0.5000  4 Al 2.68, 4 W 2.68
4 W 0.7500 0.7500 0.7500  4 Li 2.68, 4 Al 2.68



No. 2
Material: CsH3S
Method: DFT, GGA-PBE
State: relaxed

VASP energy, eV per atom: -2.71
ρ, kg/m³: 4190
V, Å³/f.u.: 66.6
N(E_F), states/eV/f.u.: 0.91

Cell lengths 4.0531, 4.0531, 4.0531 Å; angles 90.00, 90.00, 90.00 degrees
Last column: nearest neighbours and their distance in Å.
Atoms (fractional coordinates):
1 Cs 0.5000 0.5000 0.5000  12 H 2.87
2 H 0.0000 0.5000 0.0000  2 S 2.03
3 H 0.0000 0.0000 0.5000  2 S 2.03
4 H 0.5000 0.0000 0.0000  2 S 2.03
5 S 0.0000 0.0000 0.0000  6 H 2.03



Let's list M_tot in order: 0.242; 0.000 μB/atom.